Compound: Rb4PbI6
Source: Alexandria via LeMat-Bulk
Functional: GGA-PBE
Structure: relaxed

a = 10.2613 Å, b = 10.2613 Å, c = 10.2613 Å
α = 90.14°, β = 90.14°, γ = 89.86°
Positions (direct):
Rb1 0.3630 0.1370 0.2500
Rb2 0.8630 0.2500 0.3630
Rb3 0.2500 0.6370 0.1370
Rb4 0.2500 0.2500 0.7500
Rb5 0.7500 0.7500 0.2500
Rb6 0.7500 0.3630 0.8630
Rb7 0.1370 0.7500 0.6370
Rb8 0.6370 0.8630 0.7500
Pb1 0.5000 0.5000 0.5000
Pb2 0.0000 0.0000 0.0000
I1 0.6950 0.0561 0.0687
I2 0.0687 0.3050 0.0561
I3 0.5687 0.4439 0.1950
I4 0.9439 0.0687 0.6950
I5 0.5561 0.1950 0.5687
I6 0.1950 0.4313 0.4439
I7 0.8050 0.5687 0.5561
I8 0.4439 0.8050 0.4313
I9 0.0561 0.9313 0.3050
I10 0.4313 0.5561 0.8050
I11 0.9313 0.6950 0.9439
I12 0.3050 0.9439 0.9313

Its total energy is -2.81 eV/atom. Its uncorrected formation energy is -14.0 eV per formula unit.


Compound: Rb4Pb3I10
Source: Alexandria via LeMat-Bulk
Functional: GGA-PBE
Structure: relaxed

a = 6.4114 Å, b = 6.4114 Å, c = 22.3264 Å
α = 98.08°, β = 98.08°, γ = 88.23°
Positions (direct):
Rb1 0.4772 0.4772 0.1344
Rb2 0.5228 0.5228 0.8656
Rb3 0.2504 0.2504 0.6057
Rb4 0.7496 0.7496 0.3943
Pb1 0.1610 0.1610 0.2976
Pb2 0.8390 0.8390 0.7024
Pb3 0.0000 0.0000 0.0000
I1 0.1912 0.6614 0.2890
I2 0.0795 0.0795 0.1458
I3 0.6614 0.1912 0.2890
I4 0.8088 0.3386 0.7110
I5 0.3386 0.8088 0.7110
I6 0.9205 0.9205 0.8542
I7 0.1952 0.1952 0.4386
I8 0.8048 0.8048 0.5614
I9 0.0000 0.5000 0.0000
I10 0.5000 0.0000 0.0000

Its total energy is -2.81 eV/atom. Its uncorrected formation energy is -17.2 eV per formula unit.